Record 1
VASP calculation (GGA-PBE) on a relaxed structure of LiPrGaPd2.

a = 4.001 Å, b = 4.001 Å, c = 6.670 Å
α = 107.45°, β = 107.45°, γ = 90.00°
Element x y z (fractional)
Ga 0.750 0.250 0.500
Li 0.250 0.750 0.500
Pd 0.386 0.386 0.772
Pr 0.000 0.000 0.000
Pd 0.614 0.614 0.228

V, Å³ per cell: 97
Formation energy from the elements, eV per atom: -0.694

=====

Record 2
VASP calculation (GGA-PBE) on a relaxed structure of Li2GaPdPt.

a = 4.455 Å, b = 5.160 Å, c = 4.455 Å
α = 90.00°, β = 90.00°, γ = 90.00°
Element x y z (fractional)
Ga 0.500 0.500 0.500
Pt 0.000 0.000 0.000
Pd 0.000 0.500 0.000
Li 0.000 0.000 0.500
Li 0.500 0.000 0.000

V, Å³ per cell: 102
Formation energy from the elements, eV per atom: 0.138

=====

Record 3
VASP calculation (GGA-PBE) on a relaxed structure of Li3Ga3Pd2Pt.

a = 2.790 Å, b = 7.346 Å, c = 7.346 Å
α = 120.00°, β = 90.00°, γ = 90.00°
Element x y z (fractional)
Pd 0.500 0.667 0.333
Li 0.500 0.000 0.700
Pd 0.500 0.333 0.667
Ga 0.000 0.359 0.000
Ga 0.000 0.000 0.359
Pt 0.000 0.000 0.000
Li 0.500 0.700 0.000
Ga 0.000 0.641 0.641
Li 0.500 0.300 0.300

V, Å³ per cell: 130
Formation energy from the elements, eV per atom: -0.571

=====

Record 4
VASP calculation (GGA-PBE) on a relaxed structure of LiPu2Ga4Pd3.

a = 4.029 Å, b = 4.029 Å, c = 11.697 Å
α = 90.00°, β = 90.00°, γ = 90.00°
Each line ends with the local moment (μB).
Element x y z (fractional)
Pd 0.000 0.000 0.500  0.03
Pu 0.500 0.000 0.243  5.26
Pd 0.000 0.500 0.143  -0.04
Ga 0.500 0.000 0.638  0.02
Pu 0.000 0.500 0.757  5.26
Ga 0.000 0.000 0.000  -0.01
Ga 0.000 0.500 0.362  0.02
Ga 0.500 0.500 0.000  0.00
Li 0.500 0.500 0.500  0.00
Pd 0.500 0.000 0.857  -0.04

V, Å³ per cell: 190
Formation energy from the elements, eV per atom: -0.496

=====

Record 5
VASP calculation (GGA-PBE) on a relaxed structure of LiPuGaPd.

a = 4.705 Å, b = 4.705 Å, c = 4.705 Å
α = 60.00°, β = 60.00°, γ = 60.00°
Each line ends with the local moment (μB).
Element x y z (fractional)
Pu 0.500 0.500 0.500  5.14
Ga 0.000 0.000 0.000  -0.05
Pd 0.250 0.250 0.250  -0.08
Li 0.750 0.750 0.750  0.03

V, Å³ per cell: 74
Formation energy from the elements, eV per atom: -0.297

=====

Record 6
VASP calculation (GGA-PBE) on a relaxed structure of RbLi2GaPd.

a = 5.193 Å, b = 5.193 Å, c = 4.847 Å
α = 90.00°, β = 90.00°, γ = 90.00°
Element x y z (fractional)
Pd 0.000 0.000 0.000
Rb 0.500 0.500 0.500
Li 0.000 0.500 0.000
Li 0.500 0.000 0.000
Ga 0.000 0.000 0.500

V, Å³ per cell: 131
Formation energy from the elements, eV per atom: -0.184

=====

Record 7
VASP calculation (GGA-PBE) on a relaxed structure of RbLiGa2Pd.

a = 4.889 Å, b = 4.889 Å, c = 5.303 Å
α = 90.00°, β = 90.00°, γ = 90.00°
Element x y z (fractional)
Ga 0.000 0.500 0.000
Pd 0.000 0.000 0.000
Li 0.000 0.000 0.500
Ga 0.500 0.000 0.000
Rb 0.500 0.500 0.500

V, Å³ per cell: 127
Formation energy from the elements, eV per atom: -0.230

=====

Record 8
VASP calculation (GGA-PBE) on a relaxed structure of LiGaPdRh.

a = 4.235 Å, b = 4.235 Å, c = 4.235 Å
α = 60.00°, β = 60.00°, γ = 60.00°
Element x y z (fractional)
Pd 0.250 0.250 0.250
Li 0.000 0.000 0.000
Ga 0.500 0.500 0.500
Rh 0.750 0.750 0.750

V, Å³ per cell: 54
Formation energy from the elements, eV per atom: -0.657

=====

Record 9
VASP calculation (GGA-PBE) on a relaxed structure of Li2Ga5PdRh2.

a = 2.925 Å, b = 10.737 Å, c = 10.737 Å
α = 90.00°, β = 90.00°, γ = 90.00°
Element x y z (fractional)
Ga 0.500 0.310 0.566
Ga 0.500 0.810 0.934
Ga 0.500 0.934 0.190
Rh 0.000 0.866 0.366
Rh 0.000 0.134 0.634
Ga 0.500 0.690 0.434
Ga 0.500 0.000 0.500
Ga 0.500 0.190 0.066
Li 0.000 0.828 0.672
Ga 0.500 0.566 0.690
Li 0.000 0.328 0.828
Pd 0.000 0.500 0.500
Rh 0.000 0.366 0.134
Ga 0.500 0.066 0.810
Pd 0.000 0.000 0.000
Li 0.000 0.672 0.172
Ga 0.500 0.500 0.000
Ga 0.500 0.434 0.310
Li 0.000 0.172 0.328
Rh 0.000 0.634 0.866

V, Å³ per cell: 337
Formation energy from the elements, eV per atom: -0.450

=====

Record 10
VASP calculation (GGA-PBE) on a relaxed structure of Li2Ga5Pd2Rh.

a = 3.953 Å, b = 8.917 Å, c = 8.917 Å
α = 90.00°, β = 90.00°, γ = 90.00°
Element x y z (fractional)
Ga 0.500 0.190 0.084
Ga 0.500 0.584 0.690
Ga 0.500 0.084 0.810
Pd 0.000 0.623 0.877
Pd 0.000 0.377 0.123
Pd 0.000 0.877 0.377
Li 0.000 0.327 0.827
Rh 0.000 0.500 0.500
Ga 0.500 0.310 0.584
Ga 0.500 0.916 0.190
Ga 0.500 0.000 0.500
Li 0.000 0.673 0.173
Pd 0.000 0.123 0.623
Ga 0.500 0.500 0.000
Ga 0.500 0.690 0.416
Rh 0.000 0.000 0.000
Li 0.000 0.173 0.327
Ga 0.500 0.810 0.916
Ga 0.500 0.416 0.310
Li 0.000 0.827 0.673

V, Å³ per cell: 314
Formation energy from the elements, eV per atom: -0.436

=====

Record 11
VASP calculation (GGA-PBE) on a relaxed structure of LiGaPdRu.

a = 4.242 Å, b = 4.242 Å, c = 4.242 Å
α = 60.00°, β = 60.00°, γ = 60.00°
Element x y z (fractional)
Ga 0.000 0.000 0.000
Ru 0.750 0.750 0.750
Li 0.500 0.500 0.500
Pd 0.250 0.250 0.250

V, Å³ per cell: 54
Formation energy from the elements, eV per atom: -0.331

=====

Record 12
VASP calculation (GGA-PBE) on a relaxed structure of Li2ScGa2Pd2.

a = 4.404 Å, b = 4.496 Å, c = 6.855 Å
α = 106.65°, β = 90.00°, γ = 119.32°
Element x y z (fractional)
Ga 0.854 0.709 0.564
Pd 0.283 0.566 0.836
Sc 0.000 0.000 0.000
Ga 0.146 0.291 0.436
Pd 0.717 0.434 0.164
Li 0.580 0.160 0.727
Li 0.420 0.840 0.273

V, Å³ per cell: 112
Formation energy from the elements, eV per atom: -0.545

=====

Record 13
VASP calculation (GGA-PBE) on a relaxed structure of LiGaSiPd.

a = 4.330 Å, b = 4.330 Å, c = 4.330 Å
α = 60.00°, β = 60.00°, γ = 60.00°
Element x y z (fractional)
Si 0.250 0.250 0.250
Pd 0.500 0.500 0.500
Ga 0.750 0.750 0.750
Li 0.000 0.000 0.000

V, Å³ per cell: 57
Raw formation energy, eV/atom: -0.364

=====

Record 14
VASP calculation (GGA-PBE) on a relaxed structure of Li2SmGaPd4.

a = 4.427 Å, b = 4.427 Å, c = 8.192 Å
α = 74.32°, β = 74.32°, γ = 60.00°
Element x y z (fractional)
Li 0.759 0.759 0.724
Ga 0.500 0.500 0.500
Li 0.241 0.241 0.276
Pd 0.393 0.393 0.821
Pd 0.130 0.130 0.611
Pd 0.607 0.607 0.179
Pd 0.870 0.870 0.389
Sm 0.000 0.000 0.000

V, Å³ per cell: 132
Formation energy from the elements, eV per atom: -0.635

=====

Record 15
VASP calculation (GGA-PBE) on a relaxed structure of LiSmGaPd2.

a = 3.914 Å, b = 3.914 Å, c = 6.726 Å
α = 106.91°, β = 106.91°, γ = 90.00°
Element x y z (fractional)
Sm 0.000 0.000 0.000
Li 0.750 0.250 0.500
Pd 0.388 0.388 0.776
Ga 0.250 0.750 0.500
Pd 0.612 0.612 0.224

V, Å³ per cell: 94
Formation energy from the elements, eV per atom: -0.705

=====

Record 16
VASP calculation (GGA-PBE) on a relaxed structure of LiSm2Ga3Pd4.

a = 4.041 Å, b = 4.041 Å, c = 11.582 Å
α = 90.00°, β = 90.00°, γ = 90.00°
Element x y z (fractional)
Li 0.500 0.500 0.500
Ga 0.000 0.000 0.500
Ga 0.500 0.000 0.867
Pd 0.000 0.000 0.000
Pd 0.500 0.000 0.646
Sm 0.000 0.500 0.749
Pd 0.500 0.500 0.000
Pd 0.000 0.500 0.354
Ga 0.000 0.500 0.133
Sm 0.500 0.000 0.251

V, Å³ per cell: 189
Formation energy from the elements, eV per atom: -0.756

=====

Record 17
VASP calculation (GGA-PBE) on a relaxed structure of LiSmGaPd.

a = 4.523 Å, b = 4.525 Å, c = 5.143 Å
α = 116.21°, β = 90.00°, γ = 119.99°
Element x y z (fractional)
Sm 0.622 0.244 0.508
Li 0.837 0.674 0.154
Pd 0.404 0.809 0.854
Ga 0.103 0.206 0.952

V, Å³ per cell: 78
Formation energy from the elements, eV per atom: -0.578

=====

Record 18
VASP calculation (GGA-PBE) on a relaxed structure of Li2SmGa4Pd.

a = 4.307 Å, b = 4.307 Å, c = 9.171 Å
α = 76.42°, β = 76.42°, γ = 60.00°
Element x y z (fractional)
Ga 0.401 0.401 0.796
Ga 0.125 0.125 0.626
Ga 0.599 0.599 0.204
Pd 0.500 0.500 0.500
Li 0.231 0.231 0.307
Li 0.769 0.769 0.693
Ga 0.875 0.875 0.374
Sm 0.000 0.000 0.000

V, Å³ per cell: 142
Formation energy from the elements, eV per atom: -0.495

=====

Record 19
VASP calculation (GGA-PBE) on a relaxed structure of LiSm2Ga6Pd.

a = 9.027 Å, b = 5.301 Å, c = 6.804 Å
α = 67.07°, β = 47.23°, γ = 90.00°
Element x y z (fractional)
Ga 0.415 0.251 0.497
Ga 0.585 0.749 0.503
Sm 0.219 0.746 0.508
Ga 0.762 0.764 0.974
Ga 0.238 0.236 0.026
Pd 0.000 0.000 0.000
Li 0.500 0.500 0.000
Sm 0.781 0.254 0.492
Ga 0.238 0.739 0.026
Ga 0.762 0.261 0.974

V, Å³ per cell: 203
Formation energy from the elements, eV per atom: -0.479

=====

Record 20
VASP calculation (GGA-PBE) on a relaxed structure of Li2Ga2SnPd2.

a = 4.391 Å, b = 4.330 Å, c = 7.369 Å
α = 107.68°, β = 90.00°, γ = 120.47°
Element x y z (fractional)
Sn 0.000 0.000 0.000
Ga 0.569 0.138 0.709
Pd 0.730 0.460 0.188
Pd 0.270 0.540 0.812
Li 0.859 0.717 0.577
Ga 0.431 0.862 0.291
Li 0.141 0.283 0.423

V, Å³ per cell: 113
Formation energy from the elements, eV per atom: -0.501

=====

Record 21
VASP calculation (GGA-PBE) on a relaxed structure of LiGaSnPd.

a = 4.589 Å, b = 4.589 Å, c = 4.589 Å
α = 60.00°, β = 60.00°, γ = 60.00°
Element x y z (fractional)
Li 0.250 0.250 0.250
Pd 0.750 0.750 0.750
Ga 0.500 0.500 0.500
Sn 0.000 0.000 0.000

V, Å³ per cell: 68
Formation energy from the elements, eV per atom: -0.424

=====

Record 22
VASP calculation (GGA-PBE) on a relaxed structure of SrLiGaPd2.

a = 4.263 Å, b = 4.263 Å, c = 6.342 Å
α = 109.64°, β = 109.64°, γ = 90.00°
Element x y z (fractional)
Li 0.750 0.250 0.500
Pd 0.377 0.377 0.755
Ga 0.250 0.750 0.500
Pd 0.623 0.623 0.245
Sr 0.000 0.000 0.000

V, Å³ per cell: 101
Excess energy over the best structure of this formula in the dataset, kJ/mol of formula units: 0
Formation energy from the elements, eV per atom: -0.634

=====

Record 23
VASP calculation (GGA-PBE) on a relaxed structure of Sr2LiGa2Pd.

a = 6.676 Å, b = 6.469 Å, c = 8.533 Å
α = 112.28°, β = 113.03°, γ = 90.00°
Element x y z (fractional)
Ga 0.587 0.348 0.174
Pd 0.250 0.500 0.000
Sr 0.662 0.914 0.324
Ga 0.087 0.825 0.174
Sr 0.338 0.086 0.676
Li 0.750 0.000 0.000
Sr 0.838 0.590 0.676
Ga 0.913 0.175 0.826
Ga 0.413 0.652 0.826
Sr 0.162 0.410 0.324
Li 0.250 0.000 0.000
Pd 0.750 0.500 0.000

V, Å³ per cell: 309
Formation energy from the elements, eV per atom: -0.452

=====

Record 24
VASP calculation (GGA-PBE) on a relaxed structure of SrLiGaPd2.

a = 4.847 Å, b = 4.847 Å, c = 4.692 Å
α = 90.00°, β = 90.00°, γ = 90.00°
Element x y z (fractional)
Li 0.000 0.000 0.500
Pd 0.500 0.000 0.000
Pd 0.000 0.500 0.000
Sr 0.500 0.500 0.500
Ga 0.000 0.000 0.000

V, Å³ per cell: 110
Excess energy over the best structure of this formula in the dataset, kJ/mol of formula units: 120
Formation energy from the elements, eV per atom: -0.386

=====

Record 25
VASP calculation (GGA-PBE) on a relaxed structure of Sr2LiGa5Pd2.

a = 3.753 Å, b = 10.479 Å, c = 10.479 Å
α = 90.00°, β = 90.00°, γ = 90.00°
Element x y z (fractional)
Ga 0.500 0.804 0.948
Ga 0.500 0.000 0.500
Ga 0.500 0.696 0.448
Li 0.000 0.500 0.500
Ga 0.500 0.052 0.804
Sr 0.000 0.315 0.815
Pd 0.000 0.614 0.886
Ga 0.500 0.500 0.000
Ga 0.500 0.196 0.052
Li 0.000 0.000 0.000
Sr 0.000 0.815 0.685
Pd 0.000 0.114 0.614
Ga 0.500 0.552 0.696
Ga 0.500 0.304 0.552
Sr 0.000 0.185 0.315
Pd 0.000 0.386 0.114
Sr 0.000 0.685 0.185
Pd 0.000 0.886 0.386
Ga 0.500 0.948 0.196
Ga 0.500 0.448 0.304

V, Å³ per cell: 412
Formation energy from the elements, eV per atom: -0.455